No. 1
First-principles (PBE) data for a relaxed Dy5Tm4Sc2 crystal, as listed in the Alexandria database.

Cell lengths 23.190, 3.452, 8.387 Å; angles 90.00, 94.85, 90.00 degrees
Space group C2/m (No. 12)
Inequivalent atoms, fractional coordinates:
Dy 0.000 0.000 0.000 [2 per cell]
Dy 0.130 0.500 0.039 [4 per cell]
Dy 0.182 0.500 0.477 [4 per cell]
Tm 0.038 0.500 0.347 [4 per cell]
Tm 0.225 0.000 0.827 [4 per cell]
Sc 0.087 0.000 0.693 [4 per cell]

Summary:
ΔH_f (0 K) = 108 meV/atom

No. 2
First-principles (PBE) data for a relaxed LiDy2NpS4 crystal, as listed in the Alexandria database.

Cell lengths 6.741, 3.892, 6.743 Å; angles 90.00, 109.77, 90.00 degrees
Space group P2/m (No. 10)
Inequivalent atoms, fractional coordinates:
Li 0.000 0.000 0.000 [1 per cell]
Dy 0.500 0.000 0.500 [1 per cell]
Dy 0.500 0.500 0.000 [1 per cell]
Np 0.000 0.500 0.500 [1 per cell]
S 0.247 0.500 0.244 [2 per cell]
S 0.248 0.000 0.753 [2 per cell]

Summary:
Formation energy without anion corrections = -1.740 eV per atom

Number 1: V 334.48 Å³/f.u.. Number 2: V 166.51 Å³/f.u..